Here is a relaxed structure of Zr5Rh3 from Alexandria via LeMat-Bulk. Energies are from GGA-PBE.

- calculated formation energy (eV per atom) = -0.6004
- energy above the most stable polymorph in this dataset (meV/atom) = 13

Lattice parameters (Å, degrees): 8.063 8.063 5.541 90.00 90.00 120.00
Sites, in units of the cell vectors:
1 Zr 0.667 0.333 0.500
2 Zr 0.760 0.760 0.250
3 Zr 0.000 0.240 0.250
4 Zr 0.240 0.000 0.250
5 Zr 0.667 0.333 0.000
6 Zr 0.240 0.240 0.750
7 Zr 0.760 0.000 0.750
8 Zr 0.000 0.760 0.750
9 Zr 0.333 0.667 0.500
10 Zr 0.333 0.667 0.000
11 Rh 0.605 0.605 0.750
12 Rh 0.000 0.605 0.250
13 Rh 0.395 0.395 0.250
14 Rh 0.605 0.000 0.250
15 Rh 0.000 0.395 0.750
16 Rh 0.395 0.000 0.750

---

Here is a relaxed structure of Be6Ir5Rh from Alexandria via LeMat-Bulk. Energies are from GGA-PBE.

- calculated formation energy (eV per atom) = -0.5680

Lattice parameters (Å, degrees): 3.957 5.603 6.271 90.00 71.67 90.00
Sites, in units of the cell vectors:
1 Ir 0.665 0.500 0.669
2 Ir 0.333 0.000 0.334
3 Ir 0.335 0.500 0.331
4 Ir 0.000 0.500 0.000
5 Ir 0.667 0.000 0.666
6 Be 0.167 0.251 0.666
7 Be 0.833 0.251 0.334
8 Be 0.500 0.752 0.000
9 Be 0.167 0.749 0.666
10 Be 0.500 0.248 0.000
11 Be 0.833 0.749 0.334
12 Rh 0.000 0.000 0.000

---

Here is a relaxed structure of GaPd3W from Alexandria via LeMat-Bulk. Energies are from GGA-PBE.

- calculated formation energy (eV per atom) = 0.9363
- energy above the most stable polymorph in this dataset (meV/atom) = 0

Lattice parameters (Å, degrees): 4.551 4.551 4.551 90.00 90.00 90.00
Sites, in units of the cell vectors:
1 Pd 0.000 0.500 0.000
2 Pd 0.000 0.000 0.500
3 Pd 0.500 0.000 0.000
4 Ga 0.000 0.000 0.000
5 W 0.500 0.500 0.500

---

Here is a relaxed structure of Ce3BeSi4 from Alexandria via LeMat-Bulk. Energies are from GGA-PBE.

- formation energy (no corrections) (eV/atom) = -0.3616

Lattice parameters (Å, degrees): 4.473 5.576 8.004 110.38 106.23 90.00
Sites, in units of the cell vectors:
1 Be 0.500 0.000 0.000
2 Si 0.383 0.169 0.766
3 Si 0.617 0.402 0.234
4 Si 0.617 0.831 0.234
5 Si 0.383 0.598 0.766
6 Ce 0.188 0.188 0.377
7 Ce 0.000 0.500 0.000
8 Ce 0.812 0.812 0.623

---

Here is a relaxed structure of BaHoAl2 from Alexandria via LeMat-Bulk. Energies are from GGA-PBE.

- calculated formation energy (eV per atom) = -0.2164

Lattice parameters (Å, degrees): 3.836 3.836 7.797 90.00 90.00 90.00
Sites, in units of the cell vectors:
1 Ba 0.500 0.500 0.500
2 Ho 0.500 0.500 0.000
3 Al 0.000 0.000 0.808
4 Al 0.000 0.000 0.192

---

Here is a relaxed structure of TmNi4Rh2 from Alexandria via LeMat-Bulk. Energies are from GGA-PBE.

- calculated formation energy (eV per atom) = -0.2844

Lattice parameters (Å, degrees): 5.071 5.063 5.063 75.46 59.93 59.93
Sites, in units of the cell vectors:
1 Ni 0.306 0.388 0.000
2 Ni 0.306 0.000 0.388
3 Ni 0.694 0.612 0.000
4 Ni 0.694 0.000 0.612
5 Rh 0.250 0.500 0.500
6 Rh 0.750 0.500 0.500
7 Tm 0.000 0.000 0.000

---

| no. | calculated volume (A^3/atom) |
| --- | --- |
| 1 | 19.5 |
| 2 | 11.0 |
| 3 | 18.9 |
| 4 | 22.3 |
| 5 | 28.7 |
| 6 | 13.9 |